(1)
A plane-wave DFT calculation with PBE was carried out for a relaxed structure of Tm6AlPd.

Properties
ΔH_f (0 K)	-0.279	eV per atom
V	209	Å³/f.u.
total DFT energy (no corrections)	-4.75	eV/atom
SG	I4/mmm
total moment	0.00	μB per formula unit
density	9098	kg/m3

a b c (Å): 4.8742 4.8742 9.4621
angles (deg): 75.07 75.07 90.00
Atoms (fractional coordinates):
Tm  0.7472  0.7472  0.5056
Tm  0.6046  0.1049  0.7902
Tm  0.1047  0.6049  0.7902
Tm  0.8953  0.3951  0.2098
Tm  0.2528  0.2528  0.4944
Tm  0.3954  0.8951  0.2098
Pd  0.0000  0.0000  0.0000
Al  0.5000  0.5000  0.0000



(2)
A plane-wave DFT calculation with PBE was carried out for a relaxed structure of La2MgCuBi.

Properties
ΔH_f (0 K)	-0.032	eV per atom
V	160	Å³/f.u.
total DFT energy (no corrections)	-3.92	eV/atom
SG	P4/mmm
total moment	0.00	μB per formula unit
density	5959	kg/m3

a b c (Å): 5.5755 5.1510 5.5755
angles (deg): 90.00 90.00 90.00
Atoms (fractional coordinates):
Mg  0.5000  0.5000  0.5000
La  0.0000  0.0000  0.5000
La  0.5000  0.0000  0.0000
Bi  0.0000  0.5000  0.0000
Cu  0.0000  0.0000  0.0000



(3)
A plane-wave DFT calculation with PBE was carried out for a relaxed structure of HgSb2Se.

Properties
V	110	Å³/f.u.
total DFT energy (no corrections)	-2.95	eV/atom
SG	C2/m
total moment	0.00	μB per formula unit
formation energy from raw total energies	0.056	eV per atom
density	7876	kg/m3

a b c (Å): 6.7069 6.7069 3.1141
angles (deg): 62.53 62.53 77.70
Atoms (fractional coordinates):
Sb  0.0000  0.0000  0.0000
Sb  0.5000  0.5000  0.0000
Hg  0.0000  0.5000  0.5000
Se  0.5000  0.0000  0.5000